RbCd2FeCl8 | PBE-GGA | optimized geometry Values from VASP.

Geometry as Quantum ESPRESSO input:
```
&SYSTEM
  ibrav = 0, nat = 12, ntyp = 4
/
ATOMIC_SPECIES
Rb 85.47 Rb.upf
Cd 112.41 Cd.upf
Fe 55.84 Fe.upf
Cl 35.45 Cl.upf
ATOMIC_POSITIONS crystal
Rb 0.000 0.000 0.500
Cd 0.357 0.357 0.815
Cd 0.643 0.643 0.185
Fe 0.000 0.000 0.000
Cl 0.199 0.739 0.172
Cl 0.788 0.788 0.964
Cl 0.739 0.199 0.172
Cl 0.801 0.261 0.828
Cl 0.212 0.212 0.036
Cl 0.261 0.801 0.828
Cl 0.685 0.685 0.431
Cl 0.315 0.315 0.569
CELL_PARAMETERS angstrom
-3.563 -2.556 4.511
-5.020 -3.060 -2.243
4.537 -8.326 -0.355
```

Calculated values
* total magnetic moment: 1.00 μB per cell

NaPm5Tl4 | PBE-GGA | optimized geometry Values from VASP.

Geometry as Quantum ESPRESSO input:
```
&SYSTEM
  ibrav = 0, nat = 10, ntyp = 3
/
ATOMIC_SPECIES
Na 22.99 Na.upf
Pm 145.00 Pm.upf
Tl 204.38 Tl.upf
ATOMIC_POSITIONS crystal
Na 0.000 0.000 0.000
Pm 0.500 0.500 0.118
Pm 0.500 0.500 0.307
Pm 0.500 0.500 0.500
Pm 0.500 0.500 0.693
Pm 0.500 0.500 0.882
Tl 0.000 0.000 0.208
Tl 0.000 0.000 0.403
Tl 0.000 0.000 0.597
Tl 0.000 0.000 0.792
CELL_PARAMETERS angstrom
-3.015 -0.489 -2.162
-0.779 -3.183 1.807
-11.975 11.001 14.213
```

Calculated values
* formation enthalpy at 0 K: -2.58 eV per formula unit
* total magnetic moment: 0.00 μB per cell

CsRbTlAu | PBE-GGA | optimized geometry Values from VASP.

Geometry as Quantum ESPRESSO input:
```
&SYSTEM
  ibrav = 0, nat = 4, ntyp = 4
/
ATOMIC_SPECIES
Cs 132.91 Cs.upf
Rb 85.47 Rb.upf
Tl 204.38 Tl.upf
Au 196.97 Au.upf
ATOMIC_POSITIONS crystal
Cs 0.994 0.861 0.855
Rb 0.344 0.037 0.381
Tl 0.511 0.620 0.132
Au 0.843 0.286 0.129
CELL_PARAMETERS angstrom
5.154 -0.018 -0.001
-2.563 4.472 0.001
-2.559 -1.492 8.977
```

Calculated values
* formation enthalpy at 0 K: -0.68 eV per formula unit
* total magnetic moment: 0.00 μB per cell

SrBSeBr2 | PBE-GGA | optimized geometry Values from VASP.

Geometry as Quantum ESPRESSO input:
```
&SYSTEM
  ibrav = 0, nat = 5, ntyp = 4
/
ATOMIC_SPECIES
Sr 87.62 Sr.upf
B 10.81 B.upf
Se 78.96 Se.upf
Br 79.90 Br.upf
ATOMIC_POSITIONS crystal
Sr 0.000 0.000 0.000
B 0.500 0.500 0.500
Se 0.000 0.000 0.500
Br 0.000 0.500 0.000
Br 0.500 0.000 0.000
CELL_PARAMETERS angstrom
5.886 0.000 0.000
0.000 5.886 0.000
0.000 0.000 6.133
```

Calculated values
* energy relative to the lowest polymorph listed for this composition: 0.7541 eV per atom
* total magnetic moment: 1.00 μB per cell

BeSnAsBr2 | PBE-GGA | optimized geometry Values from VASP.

Geometry as Quantum ESPRESSO input:
```
&SYSTEM
  ibrav = 0, nat = 5, ntyp = 4
/
ATOMIC_SPECIES
Be 9.01 Be.upf
As 74.92 As.upf
Sn 118.71 Sn.upf
Br 79.90 Br.upf
ATOMIC_POSITIONS crystal
Be 0.000 0.000 0.000
As 0.000 0.000 0.500
Sn 0.500 0.500 0.500
Br 0.000 0.500 0.000
Br 0.500 0.000 0.000
CELL_PARAMETERS angstrom
4.745 0.000 0.000
0.000 4.745 0.000
0.000 0.000 5.024
```

Calculated values
* energy relative to the lowest polymorph listed for this composition: 0.0000 eV per atom
* total magnetic moment: 0.00 μB per cell

TlZnP2 | PBE-GGA | optimized geometry Values from VASP.

Geometry as Quantum ESPRESSO input:
```
&SYSTEM
  ibrav = 0, nat = 8, ntyp = 3
/
ATOMIC_SPECIES
P 30.97 P.upf
Tl 204.38 Tl.upf
Zn 65.41 Zn.upf
ATOMIC_POSITIONS crystal
P 0.586 0.125 0.250
P 0.164 0.625 0.250
P 0.375 0.414 0.750
P 0.875 0.836 0.750
Tl 0.000 0.000 0.000
Tl 0.750 0.250 0.500
Zn 0.500 0.500 0.000
Zn 0.250 0.750 0.500
CELL_PARAMETERS angstrom
-1.815 0.274 5.409
-2.329 -5.190 -0.518
2.939 -4.887 4.250
```

Calculated values
* energy relative to the lowest polymorph listed for this composition: 0.0478 eV per atom
* formation enthalpy at 0 K: 0.62 eV per formula unit
* total magnetic moment: 0.00 μB per cell

K2CuP | PBE-GGA | optimized geometry Values from VASP.

Geometry as Quantum ESPRESSO input:
```
&SYSTEM
  ibrav = 0, nat = 4, ntyp = 3
/
ATOMIC_SPECIES
Cu 63.55 Cu.upf
K 39.10 K.upf
P 30.97 P.upf
ATOMIC_POSITIONS crystal
Cu 0.500 0.500 0.750
K 0.000 0.000 0.014
K 0.000 0.000 0.486
P 0.500 0.500 0.250
CELL_PARAMETERS angstrom
3.312 0.000 0.000
0.000 3.312 0.000
0.000 0.000 9.576
```

Calculated values
* formation enthalpy at 0 K: 1.39 eV per formula unit
* total magnetic moment: 0.00 μB per cell

Zr3ReC | PBE-GGA | optimized geometry Values from VASP.

Geometry as Quantum ESPRESSO input:
```
&SYSTEM
  ibrav = 0, nat = 5, ntyp = 3
/
ATOMIC_SPECIES
Re 186.21 Re.upf
C 12.01 C.upf
Zr 91.22 Zr.upf
ATOMIC_POSITIONS crystal
Re 0.000 0.000 0.000
C 0.500 0.500 0.500
Zr 0.000 0.500 0.000
Zr 0.000 0.000 0.500
Zr 0.500 0.000 0.000
CELL_PARAMETERS angstrom
5.032 0.000 0.000
0.000 5.032 0.000
0.000 0.000 5.032
```

Calculated values
* energy relative to the lowest polymorph listed for this composition: 1.8906 eV per atom
* formation enthalpy at 0 K: 8.84 eV per formula unit
* total magnetic moment: 0.01 μB per cell

LiAlO2F | PBE-GGA | optimized geometry Values from VASP.

Geometry as Quantum ESPRESSO input:
```
&SYSTEM
  ibrav = 0, nat = 5, ntyp = 4
/
ATOMIC_SPECIES
Li 6.94 Li.upf
Al 26.98 Al.upf
O 16.00 O.upf
F 19.00 F.upf
ATOMIC_POSITIONS crystal
Li 0.000 0.000 0.000
Al 0.500 0.500 0.500
O 0.000 0.500 0.000
O 0.500 0.000 0.000
F 0.000 0.000 0.500
CELL_PARAMETERS angstrom
3.604 0.000 0.000
0.000 3.604 0.000
0.000 0.000 3.373
```

Calculated values
* total magnetic moment: 1.02 μB per cell

CrGaCuRh2 | PBE-GGA | optimized geometry Values from VASP.

Geometry as Quantum ESPRESSO input:
```
&SYSTEM
  ibrav = 0, nat = 5, ntyp = 4
/
ATOMIC_SPECIES
Cr 52.00 Cr.upf
Rh 102.91 Rh.upf
Cu 63.55 Cu.upf
Ga 69.72 Ga.upf
ATOMIC_POSITIONS crystal
Cr 0.000 0.500 0.000
Rh 0.000 0.000 0.500
Rh 0.500 0.000 0.000
Cu 0.000 0.000 0.000
Ga 0.500 0.500 0.500
CELL_PARAMETERS angstrom
-1.075 2.990 3.229
-2.351 -3.076 2.066
3.671 -1.224 2.355
```

Calculated values
* formation enthalpy at 0 K: 4.52 eV per formula unit
* total magnetic moment: 4.26 μB per cell

CaCdHg3 | PBE-GGA | optimized geometry Values from VASP.

Geometry as Quantum ESPRESSO input:
```
&SYSTEM
  ibrav = 0, nat = 10, ntyp = 3
/
ATOMIC_SPECIES
Ca 40.08 Ca.upf
Cd 112.41 Cd.upf
Hg 200.59 Hg.upf
ATOMIC_POSITIONS crystal
Ca 0.250 0.333 0.667
Ca 0.750 0.667 0.333
Cd 0.000 0.000 0.000
Cd 0.500 0.000 0.000
Hg 0.250 0.802 0.198
Hg 0.750 0.198 0.802
Hg 0.250 0.802 0.603
Hg 0.750 0.198 0.397
Hg 0.250 0.397 0.198
Hg 0.750 0.603 0.802
CELL_PARAMETERS angstrom
-0.297 -5.868 -0.141
3.783 -0.341 6.251
-7.304 0.365 0.163
```

Calculated values
* energy relative to the lowest polymorph listed for this composition: 0.0888 eV per atom
* formation enthalpy at 0 K: -0.89 eV per formula unit
* total magnetic moment: 0.00 μB per cell

CuAsPt2 | PBE-GGA | optimized geometry Values from VASP.

Geometry as Quantum ESPRESSO input:
```
&SYSTEM
  ibrav = 0, nat = 8, ntyp = 3
/
ATOMIC_SPECIES
As 74.92 As.upf
Cu 63.55 Cu.upf
Pt 195.08 Pt.upf
ATOMIC_POSITIONS crystal
As 0.000 0.000 0.000
As 0.750 0.250 0.500
Cu 0.500 0.500 0.000
Cu 0.250 0.750 0.500
Pt 0.646 0.125 0.250
Pt 0.104 0.625 0.250
Pt 0.375 0.354 0.750
Pt 0.875 0.896 0.750
CELL_PARAMETERS angstrom
6.985 0.000 0.000
0.000 6.985 0.000
3.492 3.492 2.693
```

Calculated values
* formation enthalpy at 0 K: 0.00 eV per formula unit
* total magnetic moment: 0.00 μB per cell

| no. | energy (eV per atom) |
| --- | --- |
| 1 | -3.1892 |
| 2 | -3.7119 |
| 3 | -2.0369 |
| 4 | -2.7352 |
| 5 | -3.1204 |
| 6 | -3.4602 |
| 7 | -2.5767 |
| 8 | -7.6958 |
| 9 | -4.5720 |
| 10 | -5.3854 |
| 11 | -0.9430 |
| 12 | -5.2067 |